Arrangement one

BiTeOsN2 after structural relaxation, computed with GGA-PBE.

Cell: 4.189 4.189 6.666 Å, 90.00 90.00 90.00°
Space group P4/mmm (No. 123)
Symmetry-distinct sites (fractional):
Bi 0.000 0.000 0.000 (multiplicity 1)
Te 0.000 0.000 0.500 (multiplicity 1)
Os 0.500 0.500 0.500 (multiplicity 1)
N 0.000 0.500 0.000 (multiplicity 2)

Summary:
Volume = 23.399 A^3/atom
Magnetic moment = 4.7 μB per formula unit



Arrangement two

BiTeOsN2 after structural relaxation, computed with GGA-PBE.

Cell: 4.048 4.048 5.645 Å, 90.00 90.00 90.00°
Space group P4/mmm (No. 123)
Symmetry-distinct sites (fractional):
Bi 0.000 0.000 0.000 (multiplicity 1)
Te 0.500 0.500 0.000 (multiplicity 1)
Os 0.500 0.500 0.500 (multiplicity 1)
N 0.000 0.500 0.500 (multiplicity 2)

Summary:
Volume = 18.503 A^3/atom
Magnetic moment = 0.0 μB per formula unit



Which is the most stable structure? arrangement two is the most stable.



Arrangement one

BiTe2OsN after structural relaxation, computed with GGA-PBE.

Cell: 5.837 5.837 4.149 Å, 90.00 90.00 90.00°
Space group P4/mmm (No. 123)
Symmetry-distinct sites (fractional):
Bi 0.000 0.000 0.000 (multiplicity 1)
Te 0.000 0.500 0.000 (multiplicity 2)
Os 0.500 0.500 0.500 (multiplicity 1)
N 0.000 0.000 0.500 (multiplicity 1)

Summary:
Volume = 28.272 A^3/atom
Magnetic moment = 3.4 μB per formula unit



Arrangement two

BiTe2OsN after structural relaxation, computed with GGA-PBE.

Cell: 5.562 5.562 3.745 Å, 90.00 90.00 90.00°
Space group P4/mmm (No. 123)
Symmetry-distinct sites (fractional):
Bi 0.000 0.000 0.000 (multiplicity 1)
Te 0.000 0.500 0.500 (multiplicity 2)
Os 0.500 0.500 0.500 (multiplicity 1)
N 0.500 0.500 0.000 (multiplicity 1)

Summary:
Volume = 23.168 A^3/atom
Magnetic moment = 0.0 μB per formula unit



Which is the most stable structure? arrangement two is the most stable.



Arrangement one

BiTe2PN after structural relaxation, computed with GGA-PBE.

Cell: 5.906 5.906 4.260 Å, 90.00 90.00 90.00°
Space group P4/mmm (No. 123)
Symmetry-distinct sites (fractional):
Bi 0.000 0.000 0.000 (multiplicity 1)
Te 0.000 0.500 0.000 (multiplicity 2)
P 0.500 0.500 0.500 (multiplicity 1)
N 0.000 0.000 0.500 (multiplicity 1)

Summary:
Volume = 29.720 A^3/atom
Magnetic moment = 0.9 μB per formula unit



Arrangement two

BiTe2PN after structural relaxation, computed with GGA-PBE.

Cell: 6.094 6.094 3.257 Å, 90.00 90.00 90.00°
Space group P4/mmm (No. 123)
Symmetry-distinct sites (fractional):
Bi 0.000 0.000 0.000 (multiplicity 1)
Te 0.000 0.500 0.500 (multiplicity 2)
P 0.500 0.500 0.500 (multiplicity 1)
N 0.500 0.500 0.000 (multiplicity 1)

Summary:
Volume = 24.193 A^3/atom
Magnetic moment = 0.0 μB per formula unit



Which is the most stable structure? arrangement two is the most stable.



Arrangement one

BiPbN2 after structural relaxation, computed with GGA-PBE.

Cell: 6.351 6.351 6.351 Å, 90.00 90.00 90.00°
Space group Fm-3m (No. 225)
Symmetry-distinct sites (fractional):
Bi 0.000 0.000 0.000 (multiplicity 4)
Pb 0.000 0.000 0.500 (multiplicity 4)
N 0.250 0.250 0.250 (multiplicity 8)

Summary:
Volume = 16.012 A^3/atom
Magnetic moment = 0.0 μB per formula unit



Arrangement two

BiPbN2 after structural relaxation, computed with GGA-PBE.

Cell: 5.559 5.559 10.909 Å, 90.00 90.00 90.00°
Space group I-42d (No. 122)
Symmetry-distinct sites (fractional):
Bi 0.000 0.000 0.000 (multiplicity 4)
Pb 0.000 0.000 0.500 (multiplicity 4)
N 0.247 0.250 0.625 (multiplicity 8)

Summary:
Volume = 21.073 A^3/atom
Magnetic moment = 0.0 μB per formula unit



Which is the most stable structure? arrangement two is the most stable.